The following is a PBE calculation of a relaxed AlH2Pd6 crystal, from the Alexandria database.

Electronic total energy, eV per cell: -43.499
Space-group type: No. 12
M_tot, μB/atom: 0.000

a = 3.993 Å, b = 5.372 Å, c = 6.319 Å
α = 82.49°, β = 71.58°, γ = 68.18°
Positions (direct):
Pd (0.025, 0.790, 0.160)
Pd (0.688, 0.782, 0.842)
Pd (0.349, 0.799, 0.504)
Al (0.000, 0.500, 0.500)
Pd (0.651, 0.201, 0.496)
H (0.182, 0.812, 0.823)
Pd (0.975, 0.210, 0.840)
Pd (0.312, 0.218, 0.158)
H (0.818, 0.188, 0.177)